No. 1
VASP calculation (PBE) on a relaxed Sr2ZnBiP crystal.

abc: 4.4546 16.4529 8.0150
angles: 90.00 90.00 90.00
With the nearest neighbours (Å) after each atom.
Space group Cmc2_1 (No. 36)
Unique sites:
Sr 0.0000 0.0314 0.0000  1 P 2.97, 2 Zn 3.31
Sr 0.0000 0.2306 0.3919  3 P 3.02-3.12
Zn 0.0000 0.4057 0.1630  2 P 2.54
Bi 0.0000 0.4186 0.7903  2 Zn 2.99-3.06, 4 Sr 3.32-3.35
P 0.0000 0.1592 0.7389  2 Zn 2.54

=====

No. 2
VASP calculation (PBE) on a relaxed Tb3Bi2P crystal.

abc: 4.2830 4.2830 10.8029
angles: 90.00 90.00 120.00
With the nearest neighbours (Å) after each atom.
Space group P-3m1 (No. 164)
Unique sites:
Tb 0.0000 0.0000 0.0000  6 Bi 3.13
Tb 0.3333 0.6667 0.3591  3 P 2.90, 3 Bi 3.16
Bi 0.3333 0.6667 0.8230  6 Tb 3.13-3.16
P 0.0000 0.0000 0.5000  6 Tb 2.90

Total magnetization in μB per cell: 0.01

=====

No. 3
VASP calculation (PBE) on a relaxed Tm3Bi2P crystal.

abc: 4.2131 4.2131 10.6759
angles: 90.00 90.00 120.00
With the nearest neighbours (Å) after each atom.
Space group P-3m1 (No. 164)
Unique sites:
Tm 0.0000 0.0000 0.0000  6 Bi 3.08
Tm 0.3333 0.6667 0.3605  3 P 2.85, 3 Bi 3.12
Bi 0.3333 0.6667 0.8227  6 Tm 3.08-3.12
P 0.0000 0.0000 0.5000  6 Tm 2.85

Total magnetization in μB per cell: 0.00

=====

No. 4
VASP calculation (PBE) on a relaxed PaBi crystal.

abc: 6.3119 6.3119 6.3119
angles: 90.00 90.00 90.00
With the nearest neighbours (Å) after each atom.
Space group Fm-3m (No. 225)
Unique sites:
Pa 0.0000 0.0000 0.0000  6 Bi 3.16
Bi 0.0000 0.0000 0.5000  6 Pa 3.16

Relative energy among the computed polymorphs in meV/atom: 0
Total magnetization in μB per cell: 0.02

=====

No. 5
VASP calculation (PBE) on a relaxed PaBi crystal.

abc: 3.4028 3.4028 5.4737
angles: 90.00 90.00 120.00
With the nearest neighbours (Å) after each atom.
Space group P-6m2 (No. 187)
Unique sites:
Pa 0.0000 0.0000 0.0000  6 Bi 3.37, 6 Pa 3.40
Bi 0.3333 0.6667 0.5000  6 Pa 3.37, 6 Bi 3.40

Relative energy among the computed polymorphs in meV/atom: 26
Total magnetization in μB per cell: 0.05

=====

No. 6
VASP calculation (PBE) on a relaxed PaBi crystal.

abc: 7.1663 7.1663 7.1663
angles: 90.00 90.00 90.00
With the nearest neighbours (Å) after each atom.
Space group F-43m (No. 216)
Unique sites:
Pa 0.0000 0.0000 0.0000  4 Bi 3.10
Bi 0.2500 0.2500 0.2500  4 Pa 3.10

Relative energy among the computed polymorphs in meV/atom: 845
Total magnetization in μB per cell: 8.00

=====

No. 7
VASP calculation (PBE) on a relaxed PaBi crystal.

abc: 6.2621 4.9871 7.9799
angles: 90.00 90.00 90.00
With the nearest neighbours (Å) after each atom.
Space group Pmma (No. 51)
Unique sites:
Pa 0.0000 0.0000 0.0000  6 Pa 3.13-3.14, 2 Bi 3.42
Pa 0.2500 0.5000 0.1368  4 Pa 3.14, 5 Bi 3.16-3.28
Bi 0.2500 0.0000 0.3805  4 Pa 3.16-3.42
Bi 0.2500 0.5000 0.7408  3 Pa 3.16-3.28

Relative energy among the computed polymorphs in meV/atom: 106
Total magnetization in μB per cell: 0.09

=====

No. 8
VASP calculation (PBE) on a relaxed PmPaBi crystal.

abc: 7.5943 7.5943 7.5943
angles: 90.00 90.00 90.00
With the nearest neighbours (Å) after each atom.
Space group F-43m (No. 216)
Unique sites:
Pm 0.0000 0.0000 0.0000  4 Pa 3.29
Pa 0.2500 0.2500 0.7500  4 Bi 3.29, 4 Pm 3.29
Bi 0.0000 0.0000 0.5000  4 Pa 3.29

Total magnetization in μB per cell: 17.07

=====

No. 9
VASP calculation (PBE) on a relaxed PaReBi crystal.

abc: 6.7873 6.7873 6.7873
angles: 90.00 90.00 90.00
With the nearest neighbours (Å) after each atom.
Space group F-43m (No. 216)
Unique sites:
Pa 0.0000 0.0000 0.0000  4 Bi 2.94
Re 0.0000 0.0000 0.5000  4 Bi 2.94
Bi 0.2500 0.2500 0.2500  4 Pa 2.94, 4 Re 2.94

Total magnetization in μB per cell: 3.67

=====

No. 10
VASP calculation (PBE) on a relaxed PaBiS4 crystal.

abc: 6.6407 4.0823 6.9723
angles: 90.00 90.39 90.00
With the nearest neighbours (Å) after each atom.
Space group P2/m (No. 10)
Unique sites:
Pa 0.0000 0.0000 0.0000  6 S 2.61-2.69
Bi 0.0000 0.5000 0.5000  6 S 2.82-2.83
S 0.2124 0.5000 0.8533  2 Pa 2.69, 1 Bi 2.83
S 0.2170 0.0000 0.3130  1 Pa 2.61, 2 Bi 2.82

Total magnetization in μB per cell: 0.00

=====

No. 11
VASP calculation (PBE) on a relaxed PaBiSb crystal.

abc: 7.2907 7.2907 7.2907
angles: 90.00 90.00 90.00
With the nearest neighbours (Å) after each atom.
Space group F-43m (No. 216)
Unique sites:
Pa 0.0000 0.0000 0.0000  4 Sb 3.16
Bi 0.0000 0.0000 0.5000  4 Sb 3.16
Sb 0.2500 0.2500 0.7500  4 Pa 3.16, 4 Bi 3.16

Relative energy among the computed polymorphs in meV/atom: 195
Total magnetization in μB per cell: 4.00

=====

No. 12
VASP calculation (PBE) on a relaxed PaBiSb crystal.

abc: 7.3645 7.3645 7.3645
angles: 90.00 90.00 90.00
With the nearest neighbours (Å) after each atom.
Space group F-43m (No. 216)
Unique sites:
Pa 0.0000 0.0000 0.0000  4 Sb 3.19, 4 Bi 3.19
Bi 0.2500 0.2500 0.7500  4 Pa 3.19
Sb 0.2500 0.2500 0.2500  4 Pa 3.19

Relative energy among the computed polymorphs in meV/atom: 0
Total magnetization in μB per cell: 1.69

=====

No. 13
VASP calculation (PBE) on a relaxed Pa2SnBi3 crystal.

abc: 4.4262 4.4262 8.9566
angles: 90.00 90.00 90.00
With the nearest neighbours (Å) after each atom.
Space group P-4m2 (No. 115)
Unique sites:
Pa 0.0000 0.5000 0.2230  7 Bi 3.21-3.32, 2 Sn 3.32
Sn 0.0000 0.0000 0.5000  4 Bi 3.13, 4 Pa 3.32
Bi 0.0000 0.5000 0.8584  5 Pa 3.21-3.27
Bi 0.5000 0.5000 0.5000  4 Sn 3.13, 4 Pa 3.32

Total magnetization in μB per cell: 0.01

=====

No. 14
VASP calculation (PBE) on a relaxed PaSnBi crystal.

abc: 4.3992 4.3992 17.6313
angles: 90.00 90.00 90.00
With the nearest neighbours (Å) after each atom.
Space group I4/mmm (No. 139)
Unique sites:
Pa 0.0000 0.0000 0.1327  4 Sn 3.21, 5 Bi 3.22-3.31
Sn 0.0000 0.5000 0.0000  4 Sn 3.11, 4 Pa 3.21
Bi 0.0000 0.0000 0.3202  5 Pa 3.22-3.31

Relative energy among the computed polymorphs in meV/atom: 0
Total magnetization in μB per cell: 0.03

=====

No. 15
VASP calculation (PBE) on a relaxed PaSnBi crystal.

abc: 7.3360 7.3360 7.3360
angles: 90.00 90.00 90.00
With the nearest neighbours (Å) after each atom.
Space group F-43m (No. 216)
Unique sites:
Pa 0.0000 0.0000 0.0000  4 Sn 3.18
Sn 0.2500 0.2500 0.7500  4 Pa 3.18, 4 Bi 3.18
Bi 0.0000 0.0000 0.5000  4 Sn 3.18

Relative energy among the computed polymorphs in meV/atom: 654
Total magnetization in μB per cell: 6.82

=====

No. 16
VASP calculation (PBE) on a relaxed PaBiTe crystal.

abc: 7.2543 7.2543 7.2543
angles: 90.00 90.00 90.00
With the nearest neighbours (Å) after each atom.
Space group F-43m (No. 216)
Unique sites:
Pa 0.0000 0.0000 0.0000  4 Te 3.14
Bi 0.0000 0.0000 0.5000  4 Te 3.14
Te 0.2500 0.2500 0.7500  4 Pa 3.14, 4 Bi 3.14

Total magnetization in μB per cell: 0.05

=====

No. 17
VASP calculation (PBE) on a relaxed PaBiTe crystal.

abc: 7.3989 7.3989 7.3989
angles: 90.00 90.00 90.00
With the nearest neighbours (Å) after each atom.
Space group F-43m (No. 216)
Unique sites:
Pa 0.0000 0.0000 0.0000  4 Te 3.20, 4 Bi 3.20
Bi 0.2500 0.2500 0.7500  4 Pa 3.20
Te 0.2500 0.2500 0.2500  4 Pa 3.20

Total magnetization in μB per cell: 0.01

=====

No. 18
VASP calculation (PBE) on a relaxed PaTlBi crystal.

abc: 7.3822 7.3822 7.3822
angles: 90.00 90.00 90.00
With the nearest neighbours (Å) after each atom.
Space group F-43m (No. 216)
Unique sites:
Pa 0.0000 0.0000 0.0000  4 Tl 3.20
Tl 0.2500 0.2500 0.7500  4 Pa 3.20, 4 Bi 3.20
Bi 0.0000 0.0000 0.5000  4 Tl 3.20

Relative energy among the computed polymorphs in meV/atom: 251
Total magnetization in μB per cell: 8.20

=====

No. 19
VASP calculation (PBE) on a relaxed PaTlBi crystal.

abc: 7.4103 7.4103 7.4103
angles: 90.00 90.00 90.00
With the nearest neighbours (Å) after each atom.
Space group F-43m (No. 216)
Unique sites:
Pa 0.0000 0.0000 0.0000  4 Tl 3.21, 4 Bi 3.21
Tl 0.2500 0.2500 0.2500  4 Pa 3.21
Bi 0.2500 0.2500 0.7500  4 Pa 3.21

Relative energy among the computed polymorphs in meV/atom: 0
Total magnetization in μB per cell: 4.30

=====

No. 20
VASP calculation (PBE) on a relaxed YPaBi crystal.

abc: 7.4768 7.4768 7.4768
angles: 90.00 90.00 90.00
With the nearest neighbours (Å) after each atom.
Space group F-43m (No. 216)
Unique sites:
Y 0.0000 0.0000 0.0000  4 Bi 3.24, 4 Pa 3.24
Pa 0.2500 0.2500 0.2500  4 Y 3.24
Bi 0.2500 0.2500 0.7500  4 Y 3.24

Relative energy among the computed polymorphs in meV/atom: 0
Total magnetization in μB per cell: 18.72

=====

Number 1: VASP energy -18.07 eV/f.u.. Number 2: VASP energy -33.95 eV/f.u.. Number 3: VASP energy -33.06 eV/f.u.. Number 4: VASP energy -13.62 eV/f.u.. Number 5: VASP energy -13.57 eV/f.u.. Number 6: VASP energy -11.93 eV/f.u.. Number 7: VASP energy -13.41 eV/f.u.. Number 8: VASP energy -16.36 eV/f.u.. Number 9: VASP energy -22.44 eV/f.u.. Number 10: VASP energy -36.39 eV/f.u.. Number 11: VASP energy -17.11 eV/f.u.. Number 12: VASP energy -17.70 eV/f.u.. Number 13: VASP energy -36.55 eV/f.u.. Number 14: VASP energy -18.36 eV/f.u.. Number 15: VASP energy -16.40 eV/f.u.. Number 16: VASP energy -16.67 eV/f.u.. Number 17: VASP energy -17.66 eV/f.u.. Number 18: VASP energy -14.15 eV/f.u.. Number 19: VASP energy -14.91 eV/f.u.. Number 20: VASP energy -18.07 eV/f.u..